Tb3HoTm4S8 | PBE | optimized geometry

Cell and atoms, written as CIF:
```
data_Tb3HoTm4S8
_chemical_formula_sum 'Tb9 Ho3 Tm12 S24'
_space_group_name_H-M_alt 'R -3 m'
_space_group_IT_number 166
_space_group_name_Hall '-R 3 2"'
_cell_length_a 7.7445
_cell_length_b 7.7445
_cell_length_c 19.0818
_cell_angle_alpha 90.00
_cell_angle_beta 90.00
_cell_angle_gamma 120.00
loop_
_atom_site_label
_atom_site_fract_x
_atom_site_fract_y
_atom_site_fract_z
_atom_site_occupancy
Tb1 0.0000 0.5000 0.0000 1
Ho1 0.0000 0.0000 0.0000 1
Tm1 0.0000 0.0000 0.5000 1
Tm2 0.0000 0.5000 0.5000 1
S1 0.0000 0.0000 0.2470 1
S2 0.0019 0.5009 0.7525 1
```

Calculated values
For the uncorrected formation energy, the calculation gives -189 kJ/mol of atoms.